(a)
Material: ReRhSe2N
Method: DFT, PBE-GGA
State: optimized geometry Values from VASP.

```
&SYSTEM
  ibrav = 0, nat = 5, ntyp = 4
/
ATOMIC_SPECIES
Re 186.21 Re.upf
Rh 102.91 Rh.upf
Se 78.96 Se.upf
N 14.01 N.upf
CELL_PARAMETERS angstrom
5.0559 0.0000 0.0000
0.0000 5.0559 0.0000
0.0000 0.0000 3.5779
ATOMIC_POSITIONS angstrom
Re 0.0000 0.0000 0.0000
Rh 2.5279 2.5279 1.7889
Se 0.0000 2.5279 1.7889
Se 2.5279 0.0000 1.7889
N 2.5279 2.5279 0.0000
```

Calculated values
Space group: P4/mmm, No. 123

(b)
Material: ReRhSe2N
Method: DFT, PBE-GGA
State: optimized geometry Values from VASP.

```
&SYSTEM
  ibrav = 0, nat = 5, ntyp = 4
/
ATOMIC_SPECIES
Re 186.21 Re.upf
Rh 102.91 Rh.upf
Se 78.96 Se.upf
N 14.01 N.upf
CELL_PARAMETERS angstrom
4.9792 0.0000 0.0000
0.0000 4.9792 0.0000
0.0000 0.0000 3.6886
ATOMIC_POSITIONS angstrom
Re 0.0000 0.0000 0.0000
Rh 2.4896 2.4896 1.8443
Se 0.0000 2.4896 0.0000
Se 2.4896 0.0000 0.0000
N 0.0000 0.0000 1.8443
```

Calculated values
Space group: P4/mmm, No. 123

The data favor (b); the next most stable structure lies 513 meV per atom above it.

(a)
Material: ReTe2RuN
Method: DFT, PBE-GGA
State: optimized geometry Values from VASP.

```
&SYSTEM
  ibrav = 0, nat = 5, ntyp = 4
/
ATOMIC_SPECIES
Re 186.21 Re.upf
Te 127.60 Te.upf
Ru 101.07 Ru.upf
N 14.01 N.upf
CELL_PARAMETERS angstrom
5.3175 0.0000 0.0000
0.0000 5.3175 0.0000
0.0000 0.0000 3.6000
ATOMIC_POSITIONS angstrom
Re 0.0000 0.0000 0.0000
Te 0.0000 2.6587 1.8000
Te 2.6587 0.0000 1.8000
Ru 2.6587 2.6587 1.8000
N 2.6587 2.6587 0.0000
```

Calculated values
Space group: P4/mmm, No. 123

(b)
Material: ReTe2RuN
Method: DFT, PBE-GGA
State: optimized geometry Values from VASP.

```
&SYSTEM
  ibrav = 0, nat = 5, ntyp = 4
/
ATOMIC_SPECIES
Re 186.21 Re.upf
Te 127.60 Te.upf
Ru 101.07 Ru.upf
N 14.01 N.upf
CELL_PARAMETERS angstrom
5.3245 0.0000 0.0000
0.0000 5.3245 0.0000
0.0000 0.0000 3.6841
ATOMIC_POSITIONS angstrom
Re 0.0000 0.0000 0.0000
Te 0.0000 2.6622 0.0000
Te 2.6622 0.0000 0.0000
Ru 2.6622 2.6622 1.8421
N 0.0000 0.0000 1.8421
```

Calculated values
Space group: P4/mmm, No. 123

The data favor (b); the next most stable structure lies 180 meV per atom above it.

(a)
Material: ReTeRuN2
Method: DFT, PBE-GGA
State: optimized geometry Values from VASP.

```
&SYSTEM
  ibrav = 0, nat = 5, ntyp = 4
/
ATOMIC_SPECIES
Re 186.21 Re.upf
Te 127.60 Te.upf
Ru 101.07 Ru.upf
N 14.01 N.upf
CELL_PARAMETERS angstrom
3.8355 0.0000 0.0000
0.0000 3.8355 0.0000
0.0000 0.0000 5.8475
ATOMIC_POSITIONS angstrom
Re 0.0000 0.0000 0.0000
Te 1.9178 1.9178 0.0000
Ru 1.9178 1.9178 2.9238
N 0.0000 1.9178 2.9238
N 1.9178 0.0000 2.9238
```

Calculated values
Space group: P4/mmm, No. 123

(b)
Material: ReTeRuN2
Method: DFT, PBE-GGA
State: optimized geometry Values from VASP.

```
&SYSTEM
  ibrav = 0, nat = 5, ntyp = 4
/
ATOMIC_SPECIES
Re 186.21 Re.upf
Te 127.60 Te.upf
Ru 101.07 Ru.upf
N 14.01 N.upf
CELL_PARAMETERS angstrom
3.8263 0.0000 0.0000
0.0000 3.8263 0.0000
0.0000 0.0000 5.9110
ATOMIC_POSITIONS angstrom
Re 0.0000 0.0000 0.0000
Te 0.0000 0.0000 2.9555
Ru 1.9132 1.9132 2.9555
N 0.0000 1.9132 0.0000
N 1.9132 0.0000 0.0000
```

Calculated values
Space group: P4/mmm, No. 123

The data favor (b); the next most stable structure lies 624 meV per atom above it.

(a)
Material: ReS2N2
Method: DFT, PBE-GGA
State: optimized geometry Values from VASP.

```
&SYSTEM
  ibrav = 0, nat = 5, ntyp = 3
/
ATOMIC_SPECIES
Re 186.21 Re.upf
S 32.06 S.upf
N 14.01 N.upf
CELL_PARAMETERS angstrom
3.7879 0.0000 0.0000
0.0000 3.7879 0.0000
0.0000 0.0000 5.1734
ATOMIC_POSITIONS angstrom
Re 0.0000 0.0000 0.0000
S 0.0000 0.0000 2.5867
S 1.8939 1.8939 2.5867
N 0.0000 1.8939 0.0000
N 1.8939 0.0000 0.0000
```

Calculated values
Space group: P4/mmm, No. 123

(b)
Material: ReS2N2
Method: DFT, PBE-GGA
State: optimized geometry Values from VASP.

```
&SYSTEM
  ibrav = 0, nat = 5, ntyp = 3
/
ATOMIC_SPECIES
Re 186.21 Re.upf
S 32.06 S.upf
N 14.01 N.upf
CELL_PARAMETERS angstrom
3.8155 0.0000 0.0000
0.0000 3.8155 0.0000
0.0000 0.0000 3.7945
ATOMIC_POSITIONS angstrom
Re 0.0000 0.0000 0.0000
S 0.0000 1.9077 1.8973
S 1.9077 0.0000 1.8973
N 1.9077 1.9077 0.0000
N 1.9077 1.9077 1.8973
```

Calculated values
Space group: P4/mmm, No. 123

(c)
Material: ReS2N2
Method: DFT, PBE-GGA
State: optimized geometry Values from VASP.

```
&SYSTEM
  ibrav = 0, nat = 5, ntyp = 3
/
ATOMIC_SPECIES
Re 186.21 Re.upf
S 32.06 S.upf
N 14.01 N.upf
CELL_PARAMETERS angstrom
4.7136 0.0000 0.0000
0.0000 4.7136 0.0000
0.0000 0.0000 3.7753
ATOMIC_POSITIONS angstrom
Re 0.0000 0.0000 0.0000
S 0.0000 2.3568 0.0000
S 2.3568 0.0000 0.0000
N 0.0000 0.0000 1.8877
N 2.3568 2.3568 1.8877
```

Calculated values
Space group: P4/mmm, No. 123

The data favor (a); the next most stable structure lies 616 meV per atom above it.

(a)
Material: ScReSN2
Method: DFT, PBE-GGA
State: optimized geometry Values from VASP.

```
&SYSTEM
  ibrav = 0, nat = 5, ntyp = 4
/
ATOMIC_SPECIES
Sc 44.96 Sc.upf
Re 186.21 Re.upf
S 32.06 S.upf
N 14.01 N.upf
CELL_PARAMETERS angstrom
3.8436 0.0000 0.0000
0.0000 3.8436 0.0000
0.0000 0.0000 4.9709
ATOMIC_POSITIONS angstrom
Sc 0.0000 0.0000 0.0000
Re 1.9218 1.9218 2.4855
S 1.9218 1.9218 0.0000
N 0.0000 1.9218 2.4855
N 1.9218 0.0000 2.4855
```

Calculated values
Space group: P4/mmm, No. 123

(b)
Material: ScReSN2
Method: DFT, PBE-GGA
State: optimized geometry Values from VASP.

```
&SYSTEM
  ibrav = 0, nat = 5, ntyp = 4
/
ATOMIC_SPECIES
Sc 44.96 Sc.upf
Re 186.21 Re.upf
S 32.06 S.upf
N 14.01 N.upf
CELL_PARAMETERS angstrom
4.0639 0.0000 0.0000
0.0000 4.0639 0.0000
0.0000 0.0000 4.9405
ATOMIC_POSITIONS angstrom
Sc 0.0000 0.0000 0.0000
Re 2.0320 2.0320 2.4702
S 0.0000 0.0000 2.4702
N 0.0000 2.0320 0.0000
N 2.0320 0.0000 0.0000
```

Calculated values
Space group: P4/mmm, No. 123

The data favor (a); the next most stable structure lies 1534 meV per atom above it.

(a)
Material: ReSe2SN
Method: DFT, PBE-GGA
State: optimized geometry Values from VASP.

```
&SYSTEM
  ibrav = 0, nat = 5, ntyp = 4
/
ATOMIC_SPECIES
Re 186.21 Re.upf
Se 78.96 Se.upf
S 32.06 S.upf
N 14.01 N.upf
CELL_PARAMETERS angstrom
4.9127 0.0000 0.0000
0.0000 4.9127 0.0000
0.0000 0.0000 3.2088
ATOMIC_POSITIONS angstrom
Re 0.0000 0.0000 0.0000
Se 0.0000 2.4564 1.6044
Se 2.4564 0.0000 1.6044
S 2.4564 2.4564 1.6044
N 2.4564 2.4564 0.0000
```

Calculated values
Space group: P4/mmm, No. 123

(b)
Material: ReSe2SN
Method: DFT, PBE-GGA
State: optimized geometry Values from VASP.

```
&SYSTEM
  ibrav = 0, nat = 5, ntyp = 4
/
ATOMIC_SPECIES
Re 186.21 Re.upf
Se 78.96 Se.upf
S 32.06 S.upf
N 14.01 N.upf
CELL_PARAMETERS angstrom
4.9801 0.0000 0.0000
0.0000 4.9801 0.0000
0.0000 0.0000 3.7409
ATOMIC_POSITIONS angstrom
Re 0.0000 0.0000 0.0000
Se 0.0000 2.4900 0.0000
Se 2.4900 0.0000 0.0000
S 2.4900 2.4900 1.8704
N 0.0000 0.0000 1.8704
```

Calculated values
Space group: P4/mmm, No. 123

The data favor (b); the next most stable structure lies 808 meV per atom above it.

(a)
Material: ReSeSN2
Method: DFT, PBE-GGA
State: optimized geometry Values from VASP.

```
&SYSTEM
  ibrav = 0, nat = 5, ntyp = 4
/
ATOMIC_SPECIES
Re 186.21 Re.upf
Se 78.96 Se.upf
S 32.06 S.upf
N 14.01 N.upf
CELL_PARAMETERS angstrom
3.7896 0.0000 0.0000
0.0000 3.7896 0.0000
0.0000 0.0000 5.6011
ATOMIC_POSITIONS angstrom
Re 0.0000 0.0000 0.0000
Se 0.0000 0.0000 2.8006
S 1.8948 1.8948 2.8006
N 0.0000 1.8948 0.0000
N 1.8948 0.0000 0.0000
```

Calculated values
Space group: P4/mmm, No. 123

(b)
Material: ReSeSN2
Method: DFT, PBE-GGA
State: optimized geometry Values from VASP.

```
&SYSTEM
  ibrav = 0, nat = 5, ntyp = 4
/
ATOMIC_SPECIES
Re 186.21 Re.upf
Se 78.96 Se.upf
S 32.06 S.upf
N 14.01 N.upf
CELL_PARAMETERS angstrom
3.6212 0.0000 0.0000
0.0000 3.6212 0.0000
0.0000 0.0000 6.3345
ATOMIC_POSITIONS angstrom
Re 0.0000 0.0000 0.0000
Se 1.8106 1.8106 3.1673
S 1.8106 1.8106 0.0000
N 0.0000 1.8106 3.1673
N 1.8106 0.0000 3.1673
```

Calculated values
Space group: P4/mmm, No. 123

The data favor (a); the next most stable structure lies 1439 meV per atom above it.

(a)
Material: ReSeSN2
Method: DFT, PBE-GGA
State: optimized geometry Values from VASP.

```
&SYSTEM
  ibrav = 0, nat = 5, ntyp = 4
/
ATOMIC_SPECIES
Re 186.21 Re.upf
Se 78.96 Se.upf
S 32.06 S.upf
N 14.01 N.upf
CELL_PARAMETERS angstrom
3.4925 0.0000 0.0000
0.0000 3.4925 0.0000
0.0000 0.0000 6.7560
ATOMIC_POSITIONS angstrom
Re 0.0000 0.0000 0.0000
Se 1.7462 1.7462 0.0000
S 1.7462 1.7462 3.3780
N 0.0000 1.7462 3.3780
N 1.7462 0.0000 3.3780
```

Calculated values
Space group: P4/mmm, No. 123

(b)
Material: ReSeSN2
Method: DFT, PBE-GGA
State: optimized geometry Values from VASP.

```
&SYSTEM
  ibrav = 0, nat = 5, ntyp = 4
/
ATOMIC_SPECIES
Re 186.21 Re.upf
Se 78.96 Se.upf
S 32.06 S.upf
N 14.01 N.upf
CELL_PARAMETERS angstrom
3.8179 0.0000 0.0000
0.0000 3.8179 0.0000
0.0000 0.0000 5.2997
ATOMIC_POSITIONS angstrom
Re 0.0000 0.0000 0.0000
Se 1.9090 1.9090 2.6499
S 0.0000 0.0000 2.6499
N 0.0000 1.9090 0.0000
N 1.9090 0.0000 0.0000
```

Calculated values
Space group: P4/mmm, No. 123

The data favor (b); the next most stable structure lies 1286 meV per atom above it.